(1)
Computed, not measured: an optimized crystal structure of ErCdCuPd at the GGA-PBE level of DFT.

abc: 6.706 6.706 6.706
angles: 90.00 90.00 90.00
Positions (direct):
Er  0.000  0.000  0.000
Er  0.000  0.500  0.500
Er  0.500  0.000  0.500
Er  0.500  0.500  0.000
Cd  0.000  0.000  0.500
Cd  0.000  0.500  0.000
Cd  0.500  0.000  0.000
Cd  0.500  0.500  0.500
Cu  0.250  0.250  0.250
Cu  0.250  0.750  0.750
Cu  0.750  0.250  0.750
Cu  0.750  0.750  0.250
Pd  0.250  0.250  0.750
Pd  0.250  0.750  0.250
Pd  0.750  0.250  0.250
Pd  0.750  0.750  0.750

## Properties
Formation energy from the elements, eV per atom: -0.461
Space group: F-43m, No. 216


(2)
Computed, not measured: an optimized crystal structure of LiTbAl3 at the GGA-PBE level of DFT.

abc: 13.473 13.473 4.523
angles: 90.00 90.00 165.59
Positions (direct):
Li  0.215  0.785  0.750
Li  0.785  0.215  0.250
Tb  0.075  0.925  0.250
Tb  0.925  0.075  0.750
Al  0.321  0.679  0.750
Al  0.374  0.626  0.250
Al  0.475  0.525  0.250
Al  0.525  0.475  0.750
Al  0.626  0.374  0.750
Al  0.679  0.321  0.250

## Properties
Formation energy from the elements, eV per atom: -0.272
Space group: Cmcm, No. 63


(3)
Computed, not measured: an optimized crystal structure of LiPb at the GGA-PBE level of DFT.

abc: 5.745 5.745 5.916
angles: 90.00 90.00 90.00
Positions (direct):
Li  0.187  0.187  0.000
Li  0.313  0.687  0.500
Li  0.687  0.313  0.500
Li  0.813  0.813  0.000
Pb  0.193  0.193  0.500
Pb  0.307  0.693  0.000
Pb  0.693  0.307  0.000
Pb  0.807  0.807  0.500

## Properties
Formation energy from the elements, eV per atom: -0.036
Space group: P4_2/mnm, No. 136


(4)
Computed, not measured: an optimized crystal structure of LaTb2ScSe4 at the GGA-PBE level of DFT.

abc: 7.093 4.061 7.193
angles: 90.00 108.90 90.00
Positions (direct):
La  0.000  0.000  0.000
Tb  0.500  0.000  0.500
Tb  0.500  0.500  0.000
Sc  0.000  0.500  0.500
Se  0.244  0.000  0.734
Se  0.255  0.500  0.266
Se  0.745  0.500  0.734
Se  0.756  0.000  0.266

## Properties
Uncorrected formation energy, meV per atom: -1749
Space group: P2/m, No. 10


(5)
Computed, not measured: an optimized crystal structure of BeOsRu at the GGA-PBE level of DFT.

abc: 5.438 4.239 6.689
angles: 90.00 90.00 90.00
Positions (direct):
Be  0.130  0.250  0.250
Be  0.370  0.750  0.750
Be  0.630  0.250  0.250
Be  0.870  0.750  0.750
Os  0.121  0.750  0.060
Os  0.379  0.250  0.560
Os  0.621  0.750  0.440
Os  0.879  0.250  0.940
Ru  0.123  0.750  0.428
Ru  0.377  0.250  0.928
Ru  0.623  0.750  0.072
Ru  0.877  0.250  0.572

## Properties
Formation energy from the elements, eV per atom: 0.096
Space group: Pnma, No. 62


(6)
Computed, not measured: an optimized crystal structure of Li5Ac2Al12 at the GGA-PBE level of DFT.

abc: 7.188 7.188 7.188
angles: 82.54 82.54 82.54
Positions (direct):
Li  0.000  0.000  0.500
Li  0.000  0.500  0.000
Li  0.097  0.097  0.097
Li  0.500  0.000  0.000
Li  0.903  0.903  0.903
Ac  0.341  0.341  0.341
Ac  0.659  0.659  0.659
Al  0.000  0.285  0.715
Al  0.000  0.715  0.285
Al  0.151  0.649  0.649
Al  0.285  0.000  0.715
Al  0.285  0.715  0.000
Al  0.351  0.351  0.849
Al  0.351  0.849  0.351
Al  0.649  0.151  0.649
Al  0.649  0.649  0.151
Al  0.715  0.000  0.285
Al  0.715  0.285  0.000
Al  0.849  0.351  0.351

## Properties
Formation energy from the elements, eV per atom: -0.246
Space group: R-3m, No. 166


Number 1: total magnetization 0.00 μB/f.u.. Number 2: total magnetization 0.00 μB/f.u.. Number 3: total magnetization 0.00 μB/f.u.. Number 4: total magnetization 0.00 μB/f.u.. Number 5: total magnetization 0.00 μB/f.u.. Number 6: total magnetization 0.00 μB/f.u..